# 1
{"formula": "Na2Ca8Mg", "functional": "PBE", "state": "relaxed", "lattice_angstrom": [[5.683, 0.000, -1.627], [-0.139, 7.320, -0.484], [-0.122, 0.038, 10.313]], "species": ["Ca", "Ca", "Ca", "Ca", "Ca", "Ca", "Ca", "Ca", "Na", "Na", "Mg"], "frac_coords": [[0.966, 0.245, 0.932], [0.782, 0.376, 0.564], [0.410, 0.573, 0.821], [0.329, 0.086, 0.658], [0.218, 0.624, 0.436], [0.034, 0.755, 0.068], [0.590, 0.427, 0.179], [0.671, 0.914, 0.342], [0.147, 0.170, 0.293], [0.853, 0.830, 0.707], [0.500, 0.000, 0.000]], "ef_ev_per_atom": 0.033, "volume_a3_per_atom": 38.9}

# 2
{"formula": "CaCu2O", "functional": "PBE", "state": "relaxed", "lattice_angstrom": [[6.111, 0.000, 0.000], [0.000, 6.111, 0.000], [3.055, 3.055, 4.319]], "species": ["Ca", "Ca", "O", "O", "Cu", "Cu", "Cu", "Cu"], "frac_coords": [[0.750, 0.250, 0.500], [0.000, 0.000, 0.000], [0.250, 0.750, 0.500], [0.500, 0.500, 0.000], [0.375, 0.625, 0.250], [0.875, 0.625, 0.750], [0.375, 0.125, 0.250], [0.375, 0.625, 0.750]], "e_form_raw_mev_per_atom": -253, "volume_a3_per_atom": 20.2}